This record from Alexandria describes SnHg2Br2 after structural relaxation. The functional is PBE.

Calculated values
E_tot, eV for the cell shown: -10.0
Formation energy from raw total energies, eV per atom: -0.416
Symmetry: No. 166

Unit cell a=11.758 b=11.758 c=11.758 alpha=21.54 beta=21.54 gamma=21.54
Element x y z (fractional)
Sn 0.000 0.000 0.000
Hg 0.136 0.136 0.136
Hg 0.864 0.864 0.864
Br 0.381 0.381 0.381
Br 0.619 0.619 0.619